# 1
Pm2PrIr9 (PBE, optimized geometry); formation energy from the elements = -0.525 eV per atom; M_tot = 0.00 μB/cell; DOS(E_F) = 1.002 states/eV per atom
1.0
5.380 0.000 0.000
2.690 4.659 0.000
2.690 1.553 8.831
Pm Pr Ir
2 1 9
Cartesian
8.070 4.659 3.698 Pm
2.690 1.553 5.133 Pm
0.000 0.000 0.000 Pr
8.070 4.659 8.802 Ir
2.690 1.553 0.028 Ir
5.380 3.106 4.415 Ir
4.046 2.336 2.152 Ir
6.714 2.336 2.152 Ir
5.380 4.646 2.152 Ir
6.714 3.876 6.679 Ir
5.380 1.566 6.679 Ir
4.046 3.876 6.679 Ir

# 2
Pm2PrIr (PBE, optimized geometry); formation energy from the elements = -0.296 eV per atom; M_tot = 0.00 μB/cell; DOS(E_F) = 1.267 states/eV per atom; polymorph energy (0 for the lowest one) = 161.3 meV per atom
1.0
3.594 0.000 0.000
0.000 3.594 0.000
0.000 0.000 9.107
Pr Ir Pm
1 1 2
Cartesian
1.797 1.797 4.553 Pr
1.797 1.797 0.000 Ir
0.000 0.000 7.454 Pm
0.000 0.000 1.653 Pm

# 3
PmPr3Ir (PBE, optimized geometry); formation energy from the elements = -0.123 eV per atom; M_tot = 0.76 μB/cell; DOS(E_F) = 1.806 states/eV per atom; polymorph energy (0 for the lowest one) = 186.4 meV per atom
1.0
-3.828 -1.175 4.013
-3.916 -0.901 -3.999
1.467 -5.472 -0.203
Pr Ir Pm
3 1 1
Cartesian
-1.958 -0.451 -2.000 Pr
0.733 -2.736 -0.101 Pr
-1.914 -0.587 2.006 Pr
0.000 0.000 0.000 Ir
-3.139 -3.774 -0.094 Pm

# 4
PmPr2Ir2 (PBE, optimized geometry); formation energy from the elements = -0.521 eV per atom; M_tot = 0.00 μB/cell; DOS(E_F) = 0.998 states/eV per atom; polymorph energy (0 for the lowest one) = 31.9 meV per atom
1.0
3.950 0.000 1.683
1.160 5.295 2.755
-0.254 -0.050 6.073
Pm Pr Ir
1 2 2
Cartesian
2.555 2.647 2.219 Pm
3.610 4.234 5.220 Pr
1.247 1.012 5.291 Pr
0.166 1.076 2.350 Ir
4.691 4.169 8.162 Ir

# 5
Pm5PrIr4 (PBE, optimized geometry); formation energy from the elements = -0.588 eV per atom; M_tot = 0.00 μB/cell; DOS(E_F) = 0.621 states/eV per atom
1.0
4.663 0.000 -1.480
-0.029 7.053 -0.091
-0.054 0.072 7.915
Pm Pr Ir
5 1 4
Cartesian
0.759 0.032 2.391 Pm
0.745 3.565 2.346 Pm
3.835 3.561 3.997 Pm
2.317 3.527 -0.786 Pm
3.821 7.094 3.952 Pm
2.332 0.000 -0.740 Pr
3.072 5.317 1.594 Ir
0.038 1.792 0.120 Ir
1.508 1.809 4.749 Ir
4.542 5.334 6.223 Ir

# 6
Pm3PrIr2 (PBE, optimized geometry); formation energy from the elements = -0.463 eV per atom; M_tot = 0.00 μB/cell; DOS(E_F) = 0.927 states/eV per atom; polymorph energy (0 for the lowest one) = 121.1 meV per atom
1.0
-3.523 -1.543 3.660
6.046 -9.158 -1.893
1.760 5.828 4.152
Pm Pr Ir
6 2 4
Cartesian
4.023 -2.810 2.689 Pm
3.441 -5.911 4.671 Pm
0.327 1.185 4.666 Pm
3.955 -6.058 1.253 Pm
0.841 1.038 1.248 Pm
0.259 -2.063 3.230 Pm
2.543 -1.287 5.757 Pr
1.739 -3.586 0.162 Pr
-0.184 3.895 5.317 Ir
4.466 -8.768 0.602 Ir
1.235 -4.687 3.064 Ir
3.047 -0.186 2.855 Ir